Computed, not measured: a relaxed Mg2CdPb crystal at the PBE level of DFT.

Cell lengths 5.5811, 5.5811, 3.2132 Å; angles 90.00, 90.00, 104.84 degrees
Fractional coordinates of all 4 atoms:
Mg1 0.0000 0.5000 0.0000
Mg2 0.5000 0.0000 0.0000
Cd1 0.0000 0.0000 0.5000
Pb1 0.5000 0.5000 0.5000

E_tot (eV per atom): -2.00
Energy relative to the elements (eV per atom): -0.04
Fermi-level density of states (states/eV/atom): 0.4271

***

Computed, not measured: a relaxed Mg2CdPb3 crystal at the PBE level of DFT.

Cell lengths 7.1729, 7.1729, 6.4283 Å; angles 90.00, 90.00, 97.63 degrees
Fractional coordinates of all 12 atoms:
Mg1 0.1991 0.1991 0.0000
Mg2 0.1991 0.1991 0.5000
Mg3 0.8009 0.8009 0.0000
Mg4 0.8009 0.8009 0.5000
Cd1 0.1565 0.8435 0.7500
Cd2 0.8435 0.1565 0.2500
Pb1 0.0755 0.5681 0.2500
Pb2 0.4319 0.9245 0.2500
Pb3 0.4490 0.5510 0.7500
Pb4 0.5510 0.4490 0.2500
Pb5 0.5681 0.0755 0.7500
Pb6 0.9245 0.4319 0.7500

E_tot (eV per atom): -2.55
Energy relative to the elements (eV per atom): -0.02
Fermi-level density of states (states/eV/atom): 0.3172